Entry from Alexandria via LeMat-Bulk: a relaxed Ac4Th3ZrN8 crystal (PBE).

N(E_F): 5.29 states/eV per cell
density: 10318 kg/m3

a b c (Å): 7.363 7.514 7.363
angles (deg): 119.34 120.00 90.00
Element x y z (fractional)
Ac  0.000  0.000  0.500
Ac  0.500  0.000  0.000
Ac  0.000  0.000  0.000
Ac  0.500  0.000  0.500
N  0.263  0.288  0.525
N  0.773  0.293  0.020
N  0.773  0.293  0.546
N  0.247  0.293  0.020
N  0.753  0.707  0.980
N  0.227  0.707  0.454
N  0.227  0.707  0.980
N  0.737  0.712  0.475
Th  0.500  0.500  0.500
Th  0.500  0.500  0.000
Th  0.000  0.500  0.500
Zr  0.000  0.500  0.000

=====

Entry from Alexandria via LeMat-Bulk: a relaxed K3Ce3IrSe8 crystal (PBE).

N(E_F): 13.06 states/eV per cell
density: 4766 kg/m3

a b c (Å): 8.338 8.338 9.235
angles (deg): 116.85 90.00 120.00
Element x y z (fractional)
Se  0.789  0.577  0.311
Se  0.234  0.022  0.311
Se  0.789  0.022  0.311
Se  0.766  0.978  0.689
Se  0.211  0.423  0.689
Se  0.263  0.525  0.288
Se  0.211  0.978  0.689
Se  0.737  0.475  0.712
K  0.000  0.500  0.000
K  0.000  0.000  0.000
K  0.500  0.500  0.000
Ce  0.000  0.500  0.500
Ce  0.500  0.500  0.500
Ce  0.500  0.000  0.500
Ir  0.000  0.000  0.500

=====

Entry from Alexandria via LeMat-Bulk: a relaxed MgSiAu crystal (PBE).

N(E_F): 1.44 states/eV per cell
density: 7500 kg/m3

a b c (Å): 3.224 3.224 6.135
angles (deg): 90.00 90.00 120.00
Element x y z (fractional)
Si  0.333  0.667  0.688
Mg  0.667  0.333  0.331
Au  0.000  0.000  0.981

=====

Entry from Alexandria via LeMat-Bulk: a relaxed KZn2Os crystal (PBE).

N(E_F): 2.28 states/eV per cell
energy of formation: 61.3 kJ/mol of atoms
density: 8478 kg/m3

a b c (Å): 2.775 2.775 10.257
angles (deg): 90.00 90.00 116.74
Element x y z (fractional)
K  0.000  0.000  0.507
Zn  0.500  0.500  0.216
Zn  0.000  0.000  0.995
Os  0.500  0.500  0.782

=====

Entry from Alexandria via LeMat-Bulk: a relaxed AlMoW2 crystal (PBE).

N(E_F): 1.86 states/eV per cell
energy of formation: 16.9 kJ/mol of atoms
density: 12808 kg/m3

a b c (Å): 5.063 5.063 2.741
angles (deg): 90.00 90.00 115.16
Element x y z (fractional)
W  0.000  0.000  0.000
W  0.500  0.500  0.000
Mo  0.000  0.500  0.500
Al  0.500  0.000  0.500

=====

Entry from Alexandria via LeMat-Bulk: a relaxed TaMn2As crystal (PBE).

N(E_F): 3.21 states/eV per cell
energy of formation: 9.4 kJ/mol of atoms
density: 11062 kg/m3

a b c (Å): 2.874 2.874 6.683
angles (deg): 90.00 90.00 95.97
Element x y z (fractional)
Ta  0.000  0.000  0.487
Mn  0.000  0.000  0.016
Mn  0.500  0.500  0.213
As  0.500  0.500  0.785

=====

Short version: E_tot = -8.46; -5.21; -3.45; -3.08; -9.94; -8.61 eV per atom, in the order given.